[1]
Below is crystalline SrAl2Re at its relaxed geometry, with properties calculated at the GGA-PBE level.

a = 6.7540 Å, b = 5.3170 Å, c = 2.8467 Å
α = 89.88°, β = 65.28°, γ = 121.55°
Last column: nearest neighbours and their distance in Å.
Element x y z (fractional)
Re 0.0000 0.5000 0.5000  2 Re 2.85, 8 Al 3.01-3.02, 2 Sr 3.07
Al 0.0000 0.0000 0.0000  4 Al 2.85-3.07, 4 Re 3.01-3.02, 4 Sr 3.01-3.02
Al 0.5000 0.0000 0.5000  4 Al 2.85-3.07, 4 Sr 3.01-3.02, 4 Re 3.01-3.02
Sr 0.5000 0.5000 0.0000  2 Sr 2.85, 8 Al 3.01-3.02, 2 Re 3.07

Calculated values
* energy above the most stable polymorph in this dataset: 0.544 eV/atom

---

[2]
Below is crystalline SrAlRe2 at its relaxed geometry, with properties calculated at the GGA-PBE level.

a = 4.9054 Å, b = 4.9054 Å, c = 5.7409 Å
α = 77.70°, β = 77.70°, γ = 45.46°
Last column: nearest neighbours and their distance in Å.
Element x y z (fractional)
Re 0.9935 0.9935 0.1292  2 Re 2.37, 1 Al 2.57
Re 0.5065 0.5065 0.3708  2 Re 2.37, 1 Al 2.57
Al 0.2500 0.2500 0.2500  6 Re 2.57-2.87
Sr 0.7500 0.7500 0.7500  8 Re 3.37-3.73, 4 Al 3.44

Calculated values
* final energy: -28.37 eV/cell

---

[3]
Below is crystalline SrAlRe2 at its relaxed geometry, with properties calculated at the GGA-PBE level.

a = 4.6232 Å, b = 4.6232 Å, c = 9.7828 Å
α = 76.33°, β = 76.33°, γ = 90.00°
Last column: nearest neighbours and their distance in Å.
Element x y z (fractional)
Re 0.3004 0.1250 0.2500  2 Re 2.41, 2 Al 2.60
Re 0.4496 0.6250 0.2500  2 Re 2.41, 2 Al 2.60
Re 0.3750 0.6996 0.7500  2 Re 2.41, 2 Al 2.60
Re 0.8750 0.5504 0.7500  2 Re 2.41, 2 Al 2.60
Al 0.5000 0.5000 0.0000  4 Re 2.60
Al 0.2500 0.7500 0.5000  4 Re 2.60
Sr 0.0000 0.0000 0.0000  4 Re 3.24, 4 Al 3.27
Sr 0.7500 0.2500 0.5000  4 Re 3.24, 4 Al 3.27

Calculated values
* final energy: -53.99 eV/cell

---

[4]
Below is crystalline SrAl2Re at its relaxed geometry, with properties calculated at the GGA-PBE level.

a = 4.7671 Å, b = 4.7671 Å, c = 4.7671 Å
α = 60.00°, β = 60.00°, γ = 60.00°
Last column: nearest neighbours and their distance in Å.
Element x y z (fractional)
Re 0.5000 0.5000 0.5000  4 Sr 2.92, 4 Al 2.92
Al 0.0000 0.0000 0.0000  4 Al 2.92, 4 Sr 2.92
Al 0.2500 0.2500 0.2500  4 Re 2.92, 4 Al 2.92
Sr 0.7500 0.7500 0.7500  4 Re 2.92, 4 Al 2.92

Calculated values
* energy above the most stable polymorph in this dataset: 0.643 eV/atom

---

[5]
Below is crystalline SrAl2Re at its relaxed geometry, with properties calculated at the GGA-PBE level.

a = 4.6387 Å, b = 4.6387 Å, c = 6.8573 Å
α = 84.56°, β = 84.56°, γ = 35.60°
Last column: nearest neighbours and their distance in Å.
Element x y z (fractional)
Re 0.4911 0.4911 0.5926  5 Al 2.55-2.68, 2 Re 2.84
Al 0.0062 0.0062 0.9213  2 Re 2.68, 5 Al 2.74-2.84
Al 0.7519 0.7519 0.7223  3 Re 2.55-2.63, 5 Al 2.74-2.84
Sr 0.2507 0.2507 0.2638  2 Sr 2.84

Calculated values
* energy above the most stable polymorph in this dataset: 0.324 eV/atom

---

[6]
Below is crystalline SrAlRe2 at its relaxed geometry, with properties calculated at the GGA-PBE level.

a = 3.3987 Å, b = 3.3987 Å, c = 6.9758 Å
α = 90.00°, β = 90.00°, γ = 90.00°
Last column: nearest neighbours and their distance in Å.
Element x y z (fractional)
Re 0.0000 0.0000 0.9166  1 Re 2.32
Re 0.0000 0.0000 0.5834  1 Re 2.32
Al 0.5000 0.5000 0.7500  8 Re 2.67
Sr 0.5000 0.5000 0.2500  8 Re 3.34, 4 Sr 3.40, 2 Al 3.49

Calculated values
* final energy: -28.31 eV/cell

---

[7]
Below is crystalline SrAlRe2 at its relaxed geometry, with properties calculated at the GGA-PBE level.

a = 4.4197 Å, b = 4.4197 Å, c = 6.7779 Å
α = 82.06°, β = 82.06°, γ = 42.16°
Last column: nearest neighbours and their distance in Å.
Element x y z (fractional)
Re 0.0041 0.0041 0.9770  3 Re 2.51, 3 Al 2.66-2.70
Re 0.7321 0.7321 0.8529  3 Re 2.51, 2 Al 2.69
Al 0.2646 0.2646 0.1652  5 Re 2.66-2.70
Sr 0.4992 0.4992 0.5049  2 Sr 3.18, 3 Al 3.22-3.34, 3 Re 3.25-3.38

Calculated values
* final energy: -28.90 eV/cell

---

[8]
Below is crystalline SrAlRe at its relaxed geometry, with properties calculated at the GGA-PBE level.

a = 4.6532 Å, b = 4.6532 Å, c = 4.6532 Å
α = 60.00°, β = 60.00°, γ = 60.00°
Last column: nearest neighbours and their distance in Å.
Element x y z (fractional)
Re 0.7500 0.7500 0.7500  4 Sr 2.85, 4 Al 2.85
Al 0.5000 0.5000 0.5000  4 Re 2.85
Sr 0.0000 0.0000 0.0000  4 Re 2.85

Calculated values
* energy above the most stable polymorph in this dataset: 0.704 eV/atom

---

[9]
Below is crystalline SrAl4Re at its relaxed geometry, with properties calculated at the GGA-PBE level.

a = 5.3437 Å, b = 5.3437 Å, c = 5.3437 Å
α = 60.00°, β = 60.00°, γ = 60.00°
Last column: nearest neighbours and their distance in Å.
Element x y z (fractional)
Sr 0.0000 0.0000 0.0000  12 Al 3.14, 4 Re 3.27
Al 0.8715 0.3762 0.3762  6 Al 2.65-2.70
Al 0.3762 0.3762 0.8715  6 Al 2.65-2.70
Al 0.3762 0.8715 0.3762  6 Al 2.65-2.70
Al 0.3762 0.3762 0.3762  6 Al 2.65-2.70
Re 0.7500 0.7500 0.7500  12 Al 3.13, 4 Sr 3.27

Calculated values
* final energy: -28.06 eV/cell

---

[10]
Below is crystalline SrAl11Re at its relaxed geometry, with properties calculated at the GGA-PBE level.

a = 5.3393 Å, b = 7.1665 Å, c = 6.9859 Å
α = 82.00°, β = 67.53°, γ = 68.63°
Last column: nearest neighbours and their distance in Å.
Element x y z (fractional)
Sr 0.0000 0.0000 0.0000  18 Al 3.30-3.58, 2 Re 3.61
Al 0.2839 0.2259 0.2197  1 Re 2.65, 7 Al 2.70-2.94
Al 0.7161 0.7741 0.7803  1 Re 2.65, 7 Al 2.70-2.94
Al 0.4964 0.7741 0.2197  1 Re 2.65, 7 Al 2.70-2.94
Al 0.5036 0.2259 0.7803  1 Re 2.65, 7 Al 2.70-2.94
Al 0.3670 0.6376 0.6532  7 Al 2.70-2.97, 1 Re 2.74
Al 0.6330 0.3624 0.3468  7 Al 2.70-2.97, 1 Re 2.74
Al 0.9798 0.3624 0.6532  7 Al 2.70-2.97, 1 Re 2.74
Al 0.0202 0.6376 0.3468  7 Al 2.70-2.97, 1 Re 2.74
Al 0.0000 0.5000 0.0000  2 Re 2.67, 8 Al 2.70-2.79
Al 0.5000 0.0000 0.5000  10 Al 2.67-2.97
Al 0.0000 0.0000 0.5000  10 Al 2.67-2.97
Re 0.5000 0.5000 0.0000  10 Al 2.65-2.74

Calculated values
* final energy: -57.29 eV/cell

---

[11]
Below is crystalline Sr2AlRe at its relaxed geometry, with properties calculated at the GGA-PBE level.

a = 5.1236 Å, b = 5.1236 Å, c = 5.1236 Å
α = 60.00°, β = 60.00°, γ = 60.00°
Last column: nearest neighbours and their distance in Å.
Element x y z (fractional)
Re 0.7500 0.7500 0.7500  4 Sr 3.14, 4 Al 3.14
Al 0.5000 0.5000 0.5000  4 Sr 3.14, 4 Re 3.14
Sr 0.0000 0.0000 0.0000  4 Re 3.14, 4 Sr 3.14
Sr 0.2500 0.2500 0.2500  4 Sr 3.14, 4 Al 3.14

Calculated values
* final energy: -16.53 eV/cell

---

[12]
Below is crystalline Sr2AlRe at its relaxed geometry, with properties calculated at the GGA-PBE level.

a = 11.2291 Å, b = 11.2291 Å, c = 8.3092 Å
α = 47.49°, β = 47.49°, γ = 90.00°
Last column: nearest neighbours and their distance in Å.
Element x y z (fractional)
Re 0.0000 0.0000 0.0000  2 Al 2.45
Re 0.7500 0.2500 0.5000  2 Al 2.45
Al 0.5000 0.5000 0.0000  2 Re 2.45
Al 0.2500 0.7500 0.5000  2 Re 2.45
Sr 0.8081 0.1250 0.2500  2 Re 2.97
Sr 0.9419 0.6250 0.2500  2 Re 2.97
Sr 0.3750 0.1919 0.7500  2 Re 2.97
Sr 0.8750 0.0581 0.7500  2 Re 2.97

Calculated values
* final energy: -33.41 eV/cell

---

[13]
Below is crystalline Sr2AlRe at its relaxed geometry, with properties calculated at the GGA-PBE level.

a = 6.2155 Å, b = 6.2155 Å, c = 5.2534 Å
α = 65.03°, β = 65.03°, γ = 36.85°
Last column: nearest neighbours and their distance in Å.
Element x y z (fractional)
Re 0.1976 0.1976 0.3019  2 Al 2.48
Al 0.5541 0.5541 0.4463  2 Re 2.48
Sr 0.9786 0.9786 0.0217  4 Al 3.38, 4 Sr 3.43-3.65, 4 Re 3.50-3.56
Sr 0.7697 0.7697 0.7301  4 Re 3.37, 4 Sr 3.43-3.65, 4 Al 3.47-3.59

Calculated values
* final energy: -17.67 eV/cell

---

[14]
Below is crystalline SrAlRe at its relaxed geometry, with properties calculated at the GGA-PBE level.

a = 6.0892 Å, b = 6.0892 Å, c = 3.4879 Å
α = 73.36°, β = 73.36°, γ = 33.29°
Last column: nearest neighbours and their distance in Å.
Element x y z (fractional)
Re 0.3847 0.3847 0.6153  4 Al 2.55
Al 0.9425 0.9425 0.0575  4 Re 2.55
Sr 0.6728 0.6728 0.3272  1 Al 3.00, 1 Re 3.21

Calculated values
* energy above the most stable polymorph in this dataset: 0.000 eV/atom

---

[15]
Below is crystalline SrAl3Re at its relaxed geometry, with properties calculated at the GGA-PBE level.

a = 5.1722 Å, b = 5.1722 Å, c = 5.1722 Å
α = 90.00°, β = 90.00°, γ = 90.00°
Last column: nearest neighbours and their distance in Å.
Element x y z (fractional)
Re 0.5000 0.5000 0.5000  12 Al 3.66
Al 0.0000 0.5000 0.0000  2 Sr 2.59
Al 0.0000 0.0000 0.5000  2 Sr 2.59
Al 0.5000 0.0000 0.0000  2 Sr 2.59
Sr 0.0000 0.0000 0.0000  6 Al 2.59

Calculated values
* energy above the most stable polymorph in this dataset: 2.890 eV/atom

---

[16]
Below is crystalline SrAl2Re at its relaxed geometry, with properties calculated at the GGA-PBE level.

a = 9.6745 Å, b = 9.6745 Å, c = 9.6745 Å
α = 18.65°, β = 18.65°, γ = 18.65°
Last column: nearest neighbours and their distance in Å.
Element x y z (fractional)
Re 0.2500 0.2500 0.2500  6 Al 2.63
Al 0.9835 0.9835 0.9835  3 Re 2.63
Al 0.5165 0.5165 0.5165  3 Re 2.63
Sr 0.7500 0.7500 0.7500  6 Sr 3.14, 6 Al 3.37

Calculated values
* energy above the most stable polymorph in this dataset: 0.346 eV/atom

---

[17]
Below is crystalline SrAl2Re at its relaxed geometry, with properties calculated at the GGA-PBE level.

a = 4.9240 Å, b = 4.9240 Å, c = 4.9240 Å
α = 125.55°, β = 125.55°, γ = 80.63°
Last column: nearest neighbours and their distance in Å.
Element x y z (fractional)
Re 0.2500 0.7500 0.5000  8 Al 2.93, 4 Sr 3.19
Al 0.0000 0.0000 0.0000  4 Sr 2.93, 4 Re 2.93, 4 Al 3.19
Al 0.5000 0.5000 0.0000  4 Re 2.93, 4 Sr 2.93, 4 Al 3.19
Sr 0.7500 0.2500 0.5000  8 Al 2.93, 4 Re 3.19

Calculated values
* energy above the most stable polymorph in this dataset: 0.373 eV/atom

---

[18]
Below is crystalline Sr2AlRe at its relaxed geometry, with properties calculated at the GGA-PBE level.

a = 7.5241 Å, b = 5.9107 Å, c = 3.0100 Å
α = 90.00°, β = 66.42°, γ = 122.31°
Last column: nearest neighbours and their distance in Å.
Element x y z (fractional)
Re 0.5000 0.5000 0.0000  2 Re 3.01, 8 Sr 3.32
Al 0.0000 0.5000 0.5000  2 Al 3.01, 8 Sr 3.32
Sr 0.0000 0.0000 0.0000  2 Sr 3.01, 4 Al 3.32, 4 Re 3.32
Sr 0.5000 0.0000 0.5000  2 Sr 3.01, 4 Re 3.32, 4 Al 3.32

Calculated values
* final energy: -16.28 eV/cell

---

[19]
Below is crystalline SrAlRe2 at its relaxed geometry, with properties calculated at the GGA-PBE level.

a = 2.7853 Å, b = 2.7853 Å, c = 9.4032 Å
α = 90.00°, β = 90.00°, γ = 103.29°
Last column: nearest neighbours and their distance in Å.
Element x y z (fractional)
Re 0.0000 0.0000 0.9605  2 Al 2.63, 4 Re 2.79
Re 0.0000 0.0000 0.5395  2 Al 2.63, 4 Re 2.79
Al 0.5000 0.5000 0.7500  4 Re 2.63, 4 Al 2.79
Sr 0.5000 0.5000 0.2500  4 Sr 2.79

Calculated values
* final energy: -27.80 eV/cell

---

[20]
Below is crystalline SrAlRe4 at its relaxed geometry, with properties calculated at the GGA-PBE level.

a = 5.3592 Å, b = 5.3592 Å, c = 5.3592 Å
α = 60.00°, β = 60.00°, γ = 60.00°
Last column: nearest neighbours and their distance in Å.
Element x y z (fractional)
Sr 0.7500 0.7500 0.7500  12 Re 3.14, 4 Al 3.28
Al 0.0000 0.0000 0.0000  12 Re 3.14, 4 Sr 3.28
Re 0.8767 0.3744 0.3744  6 Re 2.67-2.69
Re 0.3744 0.3744 0.8767  6 Re 2.67-2.69
Re 0.3744 0.8767 0.3744  6 Re 2.67-2.69
Re 0.3744 0.3744 0.3744  6 Re 2.67-2.69

Calculated values
* final energy: -52.38 eV/cell